(1)
First-principles (PBE) data for a relaxed AcThB4 crystal, as listed in OQMD.

```
data_AcThB4
_cell_length_a 3.387
_cell_length_b 3.387
_cell_length_c 8.642
_cell_angle_alpha 90.00
_cell_angle_beta 90.00
_cell_angle_gamma 120.00
_symmetry_space_group_name_H-M 'P 1'
_symmetry_Int_Tables_number 1
loop_
_symmetry_equiv_pos_as_xyz
'x,y,z'
loop_
_atom_site_label
_atom_site_fract_x
_atom_site_fract_y
_atom_site_fract_z
Ac1 0.000 0.000 0.000
Th1 0.000 0.000 0.500
B1 0.333 0.667 0.263
B2 0.333 0.667 0.737
B3 0.667 0.333 0.263
B4 0.667 0.333 0.737
```

Output
The energy above the lowest structure with this stoichiometry is 0.0000 eV/atom. The crystal system is hexagonal.

***

(2)
First-principles (PBE) data for a relaxed AcTmB4 crystal, as listed in OQMD.

```
data_AcTmB4
_cell_length_a 5.357
_cell_length_b 5.357
_cell_length_c 5.357
_cell_angle_alpha 143.71
_cell_angle_beta 115.24
_cell_angle_gamma 76.56
_symmetry_space_group_name_H-M 'P 1'
_symmetry_Int_Tables_number 1
loop_
_symmetry_equiv_pos_as_xyz
'x,y,z'
loop_
_atom_site_label
_atom_site_fract_x
_atom_site_fract_y
_atom_site_fract_z
Ac1 0.000 0.000 0.000
Tm1 0.500 0.500 0.000
B1 0.090 0.753 0.337
B2 0.417 0.753 0.663
B3 0.583 0.247 0.337
B4 0.910 0.247 0.663
```

Output
The energy above the lowest structure with this stoichiometry is 0.1348 eV/atom. The crystal system is orthorhombic.

***

(3)
First-principles (PBE) data for a relaxed AcTmB4 crystal, as listed in OQMD.

```
data_AcTmB4
_cell_length_a 3.315
_cell_length_b 3.315
_cell_length_c 8.342
_cell_angle_alpha 90.00
_cell_angle_beta 90.00
_cell_angle_gamma 120.00
_symmetry_space_group_name_H-M 'P 1'
_symmetry_Int_Tables_number 1
loop_
_symmetry_equiv_pos_as_xyz
'x,y,z'
loop_
_atom_site_label
_atom_site_fract_x
_atom_site_fract_y
_atom_site_fract_z
Ac1 0.000 0.000 0.000
Tm1 0.000 0.000 0.500
B1 0.333 0.667 0.279
B2 0.333 0.667 0.721
B3 0.667 0.333 0.279
B4 0.667 0.333 0.721
```

Output
The energy above the lowest structure with this stoichiometry is 0.0000 eV/atom. The crystal system is hexagonal.

***

(4)
First-principles (PBE) data for a relaxed AcTmB crystal, as listed in OQMD.

```
data_AcTmB
_cell_length_a 4.751
_cell_length_b 4.751
_cell_length_c 4.751
_cell_angle_alpha 60.00
_cell_angle_beta 60.00
_cell_angle_gamma 60.00
_symmetry_space_group_name_H-M 'P 1'
_symmetry_Int_Tables_number 1
loop_
_symmetry_equiv_pos_as_xyz
'x,y,z'
loop_
_atom_site_label
_atom_site_fract_x
_atom_site_fract_y
_atom_site_fract_z
Ac1 0.000 0.000 0.000
Tm1 0.500 0.500 0.500
B1 0.250 0.250 0.250
```

Output
The energy above the lowest structure with this stoichiometry is 0.0000 eV/atom. The crystal system is cubic.

***

(5)
First-principles (PBE) data for a relaxed AcUB crystal, as listed in OQMD.

```
data_AcUB
_cell_length_a 4.770
_cell_length_b 4.770
_cell_length_c 4.770
_cell_angle_alpha 60.00
_cell_angle_beta 60.00
_cell_angle_gamma 60.00
_symmetry_space_group_name_H-M 'P 1'
_symmetry_Int_Tables_number 1
loop_
_symmetry_equiv_pos_as_xyz
'x,y,z'
loop_
_atom_site_label
_atom_site_fract_x
_atom_site_fract_y
_atom_site_fract_z
Ac1 0.000 0.000 0.000
U1 0.250 0.250 0.250
B1 0.750 0.750 0.750
```

Output
The energy above the lowest structure with this stoichiometry is 1.0390 eV/atom. The crystal system is cubic.

***

(6)
First-principles (PBE) data for a relaxed AcUB crystal, as listed in OQMD.

```
data_AcUB
_cell_length_a 4.619
_cell_length_b 4.619
_cell_length_c 4.619
_cell_angle_alpha 60.00
_cell_angle_beta 60.00
_cell_angle_gamma 60.00
_symmetry_space_group_name_H-M 'P 1'
_symmetry_Int_Tables_number 1
loop_
_symmetry_equiv_pos_as_xyz
'x,y,z'
loop_
_atom_site_label
_atom_site_fract_x
_atom_site_fract_y
_atom_site_fract_z
Ac1 0.000 0.000 0.000
U1 0.500 0.500 0.500
B1 0.250 0.250 0.250
```

Output
The energy above the lowest structure with this stoichiometry is 0.0000 eV/atom. The crystal system is cubic.